## MgIn2Hg6 (GGA-PBE)

Data for a relaxed MgIn2Hg6 crystal.

Summary:
space group	C2/m
formation energy	0.00	eV/atom
calculated density	9.661	Mg/m³

Cell: 8.4817 8.4817 5.0418 Å, 106.54 106.54 46.59°
Closest atoms and distances in Å follow each position.
Fractional positions:
Mg: 0.0000 0.0000 0.0000  8 Hg 2.90-2.99
In: 0.3303 0.3303 0.2334  8 Hg 3.00-3.14
In: 0.6697 0.6697 0.7666  8 Hg 3.00-3.14
Hg: 0.0794 0.5998 0.7594  1 Mg 2.90, 3 In 3.00-3.14, 3 Hg 3.16-3.22
Hg: 0.2405 0.7595 0.5000  2 Mg 2.99, 2 In 3.10, 3 Hg 3.16-3.23
Hg: 0.4002 0.9206 0.2406  1 Mg 2.90, 3 In 3.00-3.14, 3 Hg 3.16-3.22
Hg: 0.5998 0.0794 0.7594  1 Mg 2.90, 3 In 3.00-3.14, 3 Hg 3.16-3.22
Hg: 0.7595 0.2405 0.5000  2 Mg 2.99, 2 In 3.10, 3 Hg 3.16-3.23
Hg: 0.9206 0.4002 0.2406  1 Mg 2.90, 3 In 3.00-3.14, 3 Hg 3.16-3.22